PmCrSb2O8: relaxed, GGA+U.

Volume in Å³ per cell: 176
Space-group type: I-4m2 (119)
Raw total energy in eV/atom: -6.56

Cell lengths 6.124, 6.124, 6.124 Å; angles 107.88, 107.88, 112.71 degrees
Fractional coordinates of all 12 atoms:
Pm 0.000 0.000 0.000
Cr 0.250 0.750 0.500
Sb 0.500 0.500 0.000
Sb 0.750 0.250 0.500
O 0.310 0.112 0.802
O 0.310 0.508 0.198
O 0.368 0.050 0.317
O 0.492 0.690 0.802
O 0.733 0.050 0.683
O 0.888 0.690 0.198
O 0.950 0.267 0.317
O 0.950 0.632 0.683